DFT (PBE) results for Ca2TlRe after structural relaxation.

Formation energy = 3.9 eV per formula unit
ΔE to the lowest computed polymorph = 0.539 eV/atom

a = 10.976 Å, b = 10.976 Å, c = 10.976 Å
α = 156.86°, β = 156.86°, γ = 32.96°
Sites, in units of the cell vectors:
1 Ca 0.110 0.625 0.985
2 Ca 0.375 0.360 0.485
3 Ca 0.640 0.125 0.015
4 Ca 0.875 0.890 0.515
5 Tl 0.250 0.750 0.500
6 Tl 0.500 0.500 0.000
7 Re 0.000 0.000 0.000
8 Re 0.750 0.250 0.500